(1)
DFT (PBE-GGA) results for Pm2Cd3Ga2 after structural relaxation.

The structure in POSCAR format:
```
Pm2Cd3Ga2
1.0
4.5338 0.0000 0.0000
-2.2669 5.1672 -1.7144
0.0000 -0.3946 7.1819
Pm Cd Ga
2 3 2
Direct
0.8491 0.6982 0.2236 Pm
0.1509 0.3018 0.7764 Pm
0.5000 0.0000 0.0000 Cd
0.6072 0.2144 0.4313 Cd
0.3928 0.7856 0.5687 Cd
0.8488 0.6977 0.7774 Ga
0.1512 0.3023 0.2226 Ga
```

E_tot	-3.006	eV/atom
polymorph energy (0 for the lowest one)	0.0000	eV/atom

---

(2)
DFT (PBE-GGA) results for PmCdGa2 after structural relaxation.

The structure in POSCAR format:
```
PmCdGa2
1.0
-2.2148 -3.6524 -1.4075
0.5161 -2.3436 5.2696
-2.0640 3.9947 0.0670
Pm Cd Ga
1 1 2
Direct
0.5000 0.0000 0.0000 Pm
0.0000 0.5000 0.0000 Cd
0.2732 0.3209 0.5463 Ga
0.7268 0.6791 0.4537 Ga
```

E_tot	-3.324	eV/atom
polymorph energy (0 for the lowest one)	0.0453	eV/atom

---

(3)
DFT (PBE-GGA) results for PmCdGa4 after structural relaxation.

The structure in POSCAR format:
```
PmCdGa4
1.0
-2.5234 -4.2771 -2.6152
2.6661 -4.9055 -0.5722
-1.6964 -4.4746 2.9325
Cd Ga Pm
1 4 1
Direct
0.0000 0.0000 0.0000 Cd
0.6247 0.6247 0.1260 Ga
0.6247 0.1260 0.6247 Ga
0.6247 0.6247 0.6247 Ga
0.1260 0.6247 0.6247 Ga
0.2500 0.2500 0.2500 Pm
```

E_tot	-3.184	eV/atom

---

(4)
DFT (PBE-GGA) results for Pm3CdGa2 after structural relaxation.

The structure in POSCAR format:
```
Pm3CdGa2
1.0
-3.7080 -0.2022 3.7398
5.0641 -0.7228 1.2684
1.3129 12.6857 1.9876
Pm Cd Ga
6 2 4
Direct
0.3333 0.6667 0.4171 Pm
0.6667 0.3333 0.0744 Pm
0.0000 0.0000 0.7602 Pm
0.0000 0.0000 0.2398 Pm
0.3333 0.6667 0.9256 Pm
0.6667 0.3333 0.5829 Pm
0.3333 0.6667 0.6716 Cd
0.6667 0.3333 0.3284 Cd
0.0000 0.0000 0.5000 Ga
0.3333 0.6667 0.1744 Ga
0.6667 0.3333 0.8256 Ga
0.0000 0.0000 0.0000 Ga
```

E_tot	-4.019	eV/atom
polymorph energy (0 for the lowest one)	0.0030	eV/atom

---

(5)
DFT (PBE-GGA) results for Pm3CdGa after structural relaxation.

The structure in POSCAR format:
```
Pm3CdGa
1.0
5.1823 0.0000 1.1843
0.0000 5.3115 0.0000
0.3628 0.0000 10.3433
Pm Cd Ga
6 2 2
Direct
0.7594 0.2500 0.1296 Pm
0.3879 0.2500 0.8725 Pm
0.5736 0.2500 0.5012 Pm
0.2604 0.7500 0.1275 Pm
0.8890 0.7500 0.8704 Pm
0.0748 0.7500 0.4988 Pm
0.6683 0.7500 0.3117 Cd
0.9800 0.2500 0.6883 Cd
0.4803 0.7500 0.6877 Ga
0.1680 0.2500 0.3123 Ga
```

E_tot	-3.960	eV/atom
polymorph energy (0 for the lowest one)	0.0000	eV/atom

---

(6)
DFT (PBE-GGA) results for PmPrCdGa after structural relaxation.

The structure in POSCAR format:
```
PmPrCdGa
1.0
-4.4094 2.7256 1.3270
-4.8299 -2.0886 -0.9708
-3.0576 -1.6712 4.0609
Pr Cd Ga Pm
1 1 1 1
Direct
0.0000 0.0000 0.0000 Pr
0.7500 0.7500 0.7500 Cd
0.2500 0.2500 0.2500 Ga
0.5000 0.5000 0.5000 Pm
```

E_tot	-3.796	eV/atom

---

(7)
DFT (PBE-GGA) results for Pm2CdGa4Pt3 after structural relaxation.

The structure in POSCAR format:
```
Pm2CdGa4Pt3
1.0
-0.5463 3.6315 -2.2291
-0.8505 -2.2951 -3.5305
-10.4917 -0.0192 2.5399
Pm Cd Ga Pt
2 1 4 3
Direct
0.5000 0.0000 0.2358 Pm
0.0000 0.5000 0.7642 Pm
0.5000 0.5000 0.5000 Cd
0.5000 0.5000 0.0000 Ga
0.0000 0.0000 0.0000 Ga
0.5000 0.0000 0.6437 Ga
0.0000 0.5000 0.3563 Ga
0.0000 0.0000 0.5000 Pt
0.5000 0.0000 0.8713 Pt
0.0000 0.5000 0.1287 Pt
```

E_tot	-4.896	eV/atom

---

(8)
DFT (PBE-GGA) results for PmCdGa2Pt2 after structural relaxation.

The structure in POSCAR format:
```
PmCdGa2Pt2
1.0
-0.6272 3.0276 3.1940
-3.3962 -1.2370 -2.5879
-1.5500 -4.9767 4.4130
Pm Cd Ga Pt
1 1 2 2
Direct
0.0000 0.0000 0.0000 Pm
0.0000 0.0000 0.5000 Cd
0.6667 0.3333 0.7134 Ga
0.3333 0.6667 0.2866 Ga
0.6667 0.3333 0.2832 Pt
0.3333 0.6667 0.7168 Pt
```

E_tot	-4.725	eV/atom

---

(9)
DFT (PBE-GGA) results for Pm2CdGa2Pt5 after structural relaxation.

The structure in POSCAR format:
```
Pm2CdGa2Pt5
1.0
-1.2115 -3.4728 -1.1519
3.8954 -4.0654 8.1600
-8.5674 1.4008 4.7878
Pm Cd Ga Pt
4 2 4 10
Direct
0.0000 0.6777 0.1777 Pm
0.0000 0.3223 0.8223 Pm
0.0000 0.1777 0.3223 Pm
0.0000 0.8223 0.6777 Pm
0.0000 0.0000 0.0000 Cd
0.0000 0.5000 0.5000 Cd
0.0000 0.1209 0.6209 Ga
0.0000 0.8791 0.3791 Ga
0.0000 0.6209 0.8791 Ga
0.0000 0.3791 0.1209 Ga
0.5000 0.2122 0.0641 Pt
0.5000 0.7878 0.9359 Pt
0.5000 0.0641 0.7878 Pt
0.5000 0.7122 0.4359 Pt
0.5000 0.9359 0.2122 Pt
0.5000 0.2878 0.5641 Pt
0.5000 0.5641 0.7122 Pt
0.5000 0.4359 0.2878 Pt
0.5000 0.5000 0.0000 Pt
0.5000 0.0000 0.5000 Pt
```

E_tot	-5.449	eV/atom

---

(10)
DFT (PBE-GGA) results for PmCd2Ga2Pt after structural relaxation.

The structure in POSCAR format:
```
PmCd2Ga2Pt
1.0
-1.1799 4.3980 -2.5603
-5.0618 -0.7434 1.0556
3.6730 1.0362 5.4166
Pm Cd Ga Pt
1 2 2 1
Direct
0.5000 0.5000 0.0000 Pm
0.2500 0.7500 0.5000 Cd
0.7500 0.2500 0.5000 Cd
0.7830 0.7830 0.5660 Ga
0.2170 0.2170 0.4340 Ga
0.0000 0.0000 0.0000 Pt
```

E_tot	-3.094	eV/atom

---

(11)
DFT (PBE-GGA) results for PmCdGaSn after structural relaxation.

The structure in POSCAR format:
```
PmCdGaSn
1.0
-0.8399 -4.8471 -1.7097
3.4044 -2.2451 -3.2393
3.0023 -3.9103 1.6789
Cd Sn Ga Pm
1 1 1 1
Direct
0.7500 0.7500 0.7500 Cd
0.5000 0.5000 0.5000 Sn
0.0000 0.0000 0.0000 Ga
0.2500 0.2500 0.2500 Pm
```

E_tot	-3.418	eV/atom
polymorph energy (0 for the lowest one)	0.2294	eV/atom

---

(12)
DFT (PBE-GGA) results for PmCdGaSn after structural relaxation.

The structure in POSCAR format:
```
PmCdGaSn
1.0
-2.4575 0.3085 3.6687
-2.8913 -3.1776 -1.6696
2.5627 -3.3832 2.0012
Pm Cd Ga Sn
1 1 1 1
Direct
0.5000 0.0000 0.5000 Pm
0.5000 0.5000 0.0000 Cd
0.0000 0.5000 0.5000 Ga
0.0000 0.0000 0.0000 Sn
```

E_tot	-3.647	eV/atom
polymorph energy (0 for the lowest one)	0.0000	eV/atom